DFT (PBE-GGA) results for crystalline MgPSeN2 at its relaxed geometry.

Lattice parameters (Å, degrees): 3.4653 3.4653 6.2137 90.00 90.00 90.00
Atoms (fractional coordinates):
Mg 0.0000 0.0000 0.0000
P 0.5000 0.5000 0.5000
Se 0.5000 0.5000 0.0000
N 0.0000 0.5000 0.5000
N 0.5000 0.0000 0.5000

Calculated values
For the offset from the most stable computed form, the calculation gives 0.0000 eV/atom. The energy is -0.18455 hartree per atom. As for the spin magnetization: 0.61 μB/f.u. The value obtained for the raw formation energy is 2.03 eV/f.u. The symmetry is No. 123.